(1)
An optimized crystal structure of PrGa2IrAu. Source: OQMD via LeMat-Bulk, functional PBE-GGA.

abc: 4.3377 4.3377 10.6033
angles: 90.00 90.00 90.00
With the nearest neighbours (Å) after each atom.
Space group P4/nmm (No. 129, origin choice 2)
One atom of each set of equivalent atoms:
1 Pr 0.2500 0.2500 0.2327 (multiplicity 2)  4 Ir 3.29, 8 Ga 3.30-3.57, 4 Au 3.35
2 Ga 0.2500 0.2500 0.8820 (multiplicity 2)  4 Ir 2.50, 1 Au 2.56
3 Ga 0.2500 0.7500 0.5000 (multiplicity 2)  4 Au 2.63
4 Ir 0.2500 0.7500 0.0000 (multiplicity 2)  4 Ga 2.50
5 Au 0.2500 0.2500 0.6409 (multiplicity 2)  5 Ga 2.56-2.63

Output
Volume ... 19.951 Å³ per atom



(2)
An optimized crystal structure of SmGa2IrAu. Source: OQMD via LeMat-Bulk, functional PBE-GGA.

abc: 4.3072 4.3072 10.5453
angles: 90.00 90.00 90.00
With the nearest neighbours (Å) after each atom.
Space group P4/nmm (No. 129, origin choice 2)
One atom of each set of equivalent atoms:
1 Sm 0.2500 0.2500 0.2395 (multiplicity 2)  4 Ir 3.27, 8 Ga 3.29-3.32, 4 Au 3.49
2 Ga 0.2500 0.2500 0.6420 (multiplicity 2)  1 Ir 2.43, 4 Au 2.62
3 Ga 0.2500 0.7500 0.0000 (multiplicity 2)  4 Ir 2.54
4 Ir 0.2500 0.2500 0.8725 (multiplicity 2)  5 Ga 2.43-2.54
5 Au 0.2500 0.7500 0.5000 (multiplicity 2)  4 Ga 2.62

Output
Volume ... 19.564 Å³ per atom



no.,total magnetization (μB per atom),raw total energy (eV per atom)
1,0.002,-5.286
2,0.001,-5.242